# Ba2AgAu, optimized geometry, DFT PBE-GGA
data_Ba2AgAu
_cell_length_a 8.812
_cell_length_b 8.812
_cell_length_c 8.281
_cell_angle_alpha 90.00
_cell_angle_beta 90.00
_cell_angle_gamma 90.00
_space_group_name_H-M_alt 'I -4 2 d'
_space_group_IT_number 122
_space_group_name_Hall 'I -4 2bw'
loop_
_atom_site_label
_atom_site_type_symbol
_atom_site_fract_x
_atom_site_fract_y
_atom_site_fract_z
Ba1 Ba 0.240 0.250 0.125
Ag1 Ag 0.000 0.000 0.500
Au1 Au 0.000 0.000 0.000
# - Density: 5.985 g cm⁻³
# - VASP energy: -0.2003 Ry per atom
# - E_form: -5.342 kcal/mol of atoms